# 1
A crystal of Y2CdPb relaxed with PBEsol, computed with SCAN.

Cell and atoms, written as POSCAR:
```
Y2CdPb
1.0
3.4985 0.0000 0.0000
0.0000 4.2044 0.0000
0.0000 0.0000 6.9784
Y Cd Pb
2 1 1
Cartesian
0.0000 0.0000 1.7242 Y
0.0000 0.0000 5.2543 Y
1.7492 2.1022 0.0000 Cd
1.7492 2.1022 3.4892 Pb
```

Calculated values
Energy of formation   -0.613 eV per atom

# 2
A crystal of YCdPb2 relaxed with PBEsol, computed with SCAN.

Cell and atoms, written as POSCAR:
```
YCdPb2
1.0
4.7912 0.0000 0.0000
0.0000 4.7912 0.0000
0.0000 0.0000 4.4364
Y Cd Pb
1 1 2
Cartesian
0.0000 0.0000 0.0000 Y
2.3956 2.3956 0.0000 Cd
0.0000 2.3956 2.2182 Pb
2.3956 0.0000 2.2182 Pb
```

Calculated values
Energy of formation   -0.466 eV per atom

Which of these has the highest energy of formation?
YCdPb2